# InSeF3

A relaxed structure of InSeF3 (PBEsol, the Alexandria database).

Lattice parameters (Å, degrees): 4.272 4.272 4.272 90.00 90.00 90.00
Fractional positions:
In1 0.000 0.000 0.000
Se1 0.500 0.500 0.500
F1 0.000 0.000 0.500
F2 0.000 0.500 0.000
F3 0.500 0.000 0.000

- Total DFT energy (no corrections): -3.9263 eV per atom
- Crystal system: cubic
- E above lowest polymorph: 0 meV/atom
- Raw formation energy: -1.403 eV per atom
- Space-group type: Pm-3m (221)

=====

# InSe3F

A relaxed structure of InSe3F (PBEsol, the Alexandria database).

Lattice parameters (Å, degrees): 5.194 5.194 5.194 90.00 90.00 90.00
Fractional positions:
In1 0.000 0.000 0.000
Se1 0.000 0.000 0.500
Se2 0.000 0.500 0.000
Se3 0.500 0.000 0.000
F1 0.500 0.500 0.500

- Total DFT energy (no corrections): -2.7840 eV per atom
- Crystal system: cubic
- Raw formation energy: 0.508 eV per atom
- Space-group type: Pm-3m (221)

=====

# TlInSe2F

A relaxed structure of TlInSe2F (PBEsol, the Alexandria database).

Lattice parameters (Å, degrees): 5.316 5.316 4.392 90.00 90.00 90.00
Fractional positions:
Tl1 0.000 0.000 0.000
In1 0.500 0.500 0.500
Se1 0.000 0.500 0.000
Se2 0.500 0.000 0.000
F1 0.000 0.000 0.500

- Total DFT energy (no corrections): -3.4406 eV per atom
- Crystal system: tetragonal
- Raw formation energy: -0.392 eV per atom
- Space-group type: P4/mmm (123)

=====

# InSiF2

A relaxed structure of InSiF2 (PBEsol, the Alexandria database).

Lattice parameters (Å, degrees): 8.238 8.238 8.238 20.26 20.26 20.26
Fractional positions:
In1 0.000 0.000 0.000
Si1 0.500 0.500 0.500
F1 0.091 0.091 0.091
F2 0.909 0.909 0.909

- Total DFT energy (no corrections): -4.2742 eV per atom
- Crystal system: trigonal
- Raw formation energy: -1.128 eV per atom
- Space-group type: R-3m (166)

=====

# SrInF2

A relaxed structure of SrInF2 (PBEsol, the Alexandria database).

Lattice parameters (Å, degrees): 7.686 7.686 7.686 28.87 28.87 28.87
Fractional positions:
Sr1 0.000 0.000 0.000
In1 0.500 0.500 0.500
F1 0.376 0.376 0.376
F2 0.624 0.624 0.624

- Total DFT energy (no corrections): -4.7866 eV per atom
- Crystal system: trigonal
- Raw formation energy: -2.617 eV per atom
- Space-group type: R-3m (166)

=====

# SrIn2WF

A relaxed structure of SrIn2WF (PBEsol, the Alexandria database).

Lattice parameters (Å, degrees): 5.411 5.411 4.080 90.00 90.00 90.00
Fractional positions:
Sr1 0.000 0.000 0.000
In1 0.000 0.500 0.500
In2 0.500 0.000 0.500
W1 0.500 0.500 0.500
F1 0.500 0.500 0.000

- Total DFT energy (no corrections): -4.9142 eV per atom
- Crystal system: tetragonal
- Raw formation energy: -0.206 eV per atom
- Space-group type: P4/mmm (123)